An optimized crystal structure of LaMnCr2, computed with PBE.

Calculated values
energy above the lowest structure with this stoichiometry: 486 meV per atom
ΔE_f: 0.824 eV/atom
density of states at the Fermi level: 1.37 states/eV/atom

a b c (Å): 4.170 4.170 4.180
angles (deg): 90.00 90.00 90.00
Atoms (fractional coordinates):
La 0.000 0.000 0.000
Mn 0.500 0.500 0.000
Cr 0.000 0.500 0.500
Cr 0.500 0.000 0.500

An optimized crystal structure of La2MnCr, computed with PBE.

Calculated values
energy above the lowest structure with this stoichiometry: 124 meV per atom
ΔE_f: 0.371 eV/atom
density of states at the Fermi level: 1.25 states/eV/atom

a b c (Å): 5.247 5.247 5.247
angles (deg): 60.00 60.00 60.00
Atoms (fractional coordinates):
La 0.250 0.250 0.250
La 0.750 0.750 0.750
Mn 0.000 0.000 0.000
Cr 0.500 0.500 0.500

An optimized crystal structure of LaMnCr2, computed with PBE.

Calculated values
energy above the lowest structure with this stoichiometry: 470 meV per atom
ΔE_f: 0.808 eV/atom
density of states at the Fermi level: 1.28 states/eV/atom

a b c (Å): 8.644 8.644 8.644
angles (deg): 148.98 148.98 44.45
Atoms (fractional coordinates):
La 0.375 0.625 0.750
La 0.625 0.375 0.250
Mn 0.125 0.875 0.250
Mn 0.875 0.125 0.750
Cr 0.000 0.000 0.000
Cr 0.000 0.000 0.500
Cr 0.000 0.500 0.000
Cr 0.500 0.000 0.500

An optimized crystal structure of LaMn2Cr, computed with PBE.

Calculated values
energy above the lowest structure with this stoichiometry: 281 meV per atom
ΔE_f: 0.533 eV/atom
density of states at the Fermi level: 1.05 states/eV/atom

a b c (Å): 4.800 4.800 3.164
angles (deg): 90.37 90.37 90.36
Atoms (fractional coordinates):
La 0.000 0.000 0.000
Mn 0.000 0.500 0.500
Mn 0.500 0.000 0.500
Cr 0.500 0.500 0.000

An optimized crystal structure of LaMn2Cr, computed with PBE.

Calculated values
energy above the lowest structure with this stoichiometry: 396 meV per atom
ΔE_f: 0.647 eV/atom
density of states at the Fermi level: 1.15 states/eV/atom

a b c (Å): 9.240 9.240 9.240
angles (deg): 18.95 18.95 18.95
Atoms (fractional coordinates):
La 0.000 0.000 0.000
Mn 0.232 0.232 0.232
Mn 0.768 0.768 0.768
Cr 0.500 0.500 0.500

An optimized crystal structure of LaMnCr2, computed with PBE.

Calculated values
energy above the lowest structure with this stoichiometry: 364 meV per atom
ΔE_f: 0.702 eV/atom
density of states at the Fermi level: 1.16 states/eV/atom

a b c (Å): 5.654 5.654 5.654
angles (deg): 147.15 125.87 64.79
Atoms (fractional coordinates):
La 0.000 0.000 0.000
Mn 0.500 0.500 0.000
Cr 0.298 0.798 0.500
Cr 0.702 0.202 0.500

An optimized crystal structure of La2MnCr, computed with PBE.

Calculated values
energy above the lowest structure with this stoichiometry: 61 meV per atom
ΔE_f: 0.308 eV/atom
density of states at the Fermi level: 1.20 states/eV/atom

a b c (Å): 6.375 6.375 6.375
angles (deg): 147.41 133.99 57.51
Atoms (fractional coordinates):
La 0.000 0.000 0.000
La 0.715 0.215 0.500
Mn 0.290 0.790 0.500
Cr 0.423 0.423 0.000

An optimized crystal structure of LaMn2Cr, computed with PBE.

Calculated values
energy above the lowest structure with this stoichiometry: 397 meV per atom
ΔE_f: 0.649 eV/atom
density of states at the Fermi level: 1.55 states/eV/atom

a b c (Å): 4.220 4.220 4.207
angles (deg): 90.00 90.00 90.00
Atoms (fractional coordinates):
La 0.000 0.000 0.000
Mn 0.000 0.500 0.500
Mn 0.500 0.000 0.500
Cr 0.500 0.500 0.000

An optimized crystal structure of LaMn2Cr, computed with PBE.

Calculated values
energy above the lowest structure with this stoichiometry: 238 meV per atom
ΔE_f: 0.490 eV/atom
density of states at the Fermi level: 0.85 states/eV/atom

a b c (Å): 6.366 6.366 6.366
angles (deg): 150.30 141.04 49.74
Atoms (fractional coordinates):
La 0.000 0.000 0.000
Mn 0.259 0.759 0.500
Mn 0.615 0.615 0.000
Cr 0.746 0.246 0.500

An optimized crystal structure of LaMn2Cr, computed with PBE.

Calculated values
energy above the lowest structure with this stoichiometry: 264 meV per atom
ΔE_f: 0.516 eV/atom
density of states at the Fermi level: 1.23 states/eV/atom

a b c (Å): 4.752 4.752 4.752
angles (deg): 120.10 120.10 89.82
Atoms (fractional coordinates):
La 0.000 0.000 0.000
Mn 0.250 0.750 0.500
Mn 0.500 0.500 0.000
Cr 0.750 0.250 0.500

An optimized crystal structure of LaMnCr2, computed with PBE.

Calculated values
energy above the lowest structure with this stoichiometry: 378 meV per atom
ΔE_f: 0.716 eV/atom
density of states at the Fermi level: 1.11 states/eV/atom

a b c (Å): 9.196 9.196 9.196
angles (deg): 19.05 19.05 19.05
Atoms (fractional coordinates):
La 0.000 0.000 0.000
Mn 0.231 0.231 0.231
Cr 0.498 0.498 0.498
Cr 0.768 0.768 0.768

An optimized crystal structure of LaMnCr2, computed with PBE.

Calculated values
energy above the lowest structure with this stoichiometry: 341 meV per atom
ΔE_f: 0.679 eV/atom
density of states at the Fermi level: 1.20 states/eV/atom

a b c (Å): 5.579 5.579 5.579
angles (deg): 146.70 125.89 65.04
Atoms (fractional coordinates):
La 0.000 0.000 0.000
Mn 0.289 0.789 0.500
Cr 0.504 0.504 0.000
Cr 0.710 0.210 0.500

- Number 6 is which compound?
  LaMnCr2

- What is the formula in the third record?
  LaMnCr2

- energy above the lowest structure with this stoichiometry of number 9 (LaMn2Cr)?
  238 meV per atom